Record 1
The following is a PBE-GGA calculation of an optimized crystal structure of Ca2HgAsPt, from the Alexandria database.

Cell lengths 5.727, 5.727, 4.918 Å; angles 90.00, 90.00, 90.00 degrees
Space group P4/mmm (No. 123)
Inequivalent atoms, fractional coordinates:
Ca  0.000  0.500  0.000 [2 per cell]
Hg  0.000  0.000  0.000 [1 per cell]
As  0.000  0.000  0.500 [1 per cell]
Pt  0.500  0.500  0.500 [1 per cell]

## Properties
E_tot   -13.6 eV per formula unit
Energy relative to the lowest polymorph listed for this composition   0.834 eV/atom
DFT formation energy   0.273 eV/atom


Record 2
The following is a PBE-GGA calculation of an optimized crystal structure of Ca2HgAsPt, from the Alexandria database.

Cell lengths 5.411, 5.411, 5.115 Å; angles 90.00, 90.00, 90.00 degrees
Space group P4/mmm (No. 123)
Inequivalent atoms, fractional coordinates:
Ca  0.000  0.500  0.000 [2 per cell]
Hg  0.000  0.000  0.500 [1 per cell]
As  0.500  0.500  0.500 [1 per cell]
Pt  0.000  0.000  0.000 [1 per cell]

## Properties
E_tot   -17.0 eV per formula unit
Energy relative to the lowest polymorph listed for this composition   0.168 eV/atom
DFT formation energy   -0.394 eV/atom


Record 3
The following is a PBE-GGA calculation of an optimized crystal structure of CaReHg2As, from the Alexandria database.

Cell lengths 5.347, 5.347, 4.690 Å; angles 90.00, 90.00, 90.00 degrees
Space group P4/mmm (No. 123)
Inequivalent atoms, fractional coordinates:
Ca  0.000  0.000  0.000 [1 per cell]
Re  0.500  0.500  0.500 [1 per cell]
Hg  0.000  0.500  0.500 [2 per cell]
As  0.500  0.500  0.000 [1 per cell]

## Properties
E_tot   -19.0 eV per formula unit
DFT formation energy   0.133 eV/atom


Record 4
The following is a PBE-GGA calculation of an optimized crystal structure of Ca2HgAsRh, from the Alexandria database.

Cell lengths 5.596, 5.596, 4.557 Å; angles 90.00, 90.00, 90.00 degrees
Space group P4/mmm (No. 123)
Inequivalent atoms, fractional coordinates:
Ca  0.000  0.500  0.000 [2 per cell]
Hg  0.000  0.000  0.500 [1 per cell]
As  0.500  0.500  0.000 [1 per cell]
Rh  0.500  0.500  0.500 [1 per cell]

## Properties
E_tot   -18.5 eV per formula unit
DFT formation energy   -0.437 eV/atom


Record 5
The following is a PBE-GGA calculation of an optimized crystal structure of CaHgSb2As, from the Alexandria database.

Cell lengths 5.759, 5.759, 5.385 Å; angles 90.00, 90.00, 90.00 degrees
Space group P4/mmm (No. 123)
Inequivalent atoms, fractional coordinates:
Ca  0.000  0.000  0.000 [1 per cell]
Hg  0.500  0.500  0.500 [1 per cell]
Sb  0.000  0.500  0.000 [2 per cell]
As  0.000  0.000  0.500 [1 per cell]

## Properties
E_tot   -12.3 eV per formula unit
E_form (uncorrected)   0.5764 eV/atom


Record 6
The following is a PBE-GGA calculation of an optimized crystal structure of CaHgSbAs2, from the Alexandria database.

Cell lengths 5.415, 5.415, 5.502 Å; angles 90.00, 90.00, 90.00 degrees
Space group P4/mmm (No. 123)
Inequivalent atoms, fractional coordinates:
Ca  0.000  0.000  0.000 [1 per cell]
Hg  0.000  0.000  0.500 [1 per cell]
Sb  0.500  0.500  0.500 [1 per cell]
As  0.000  0.500  0.000 [2 per cell]

## Properties
E_tot   -12.8 eV per formula unit
E_form (uncorrected)   0.5860 eV/atom


Across the entries above, calculated volume takes the values 161.3, 149.8, 134.1, 142.7, 178.6, 161.4 Å³/f.u., respectively.